A relaxed DyTlOsO6 crystal. Source: Alexandria, functional PBE.

Computed properties:
raw formation energy	-1578	meV/atom
crystal system	trigonal
D(E_F)	0.03	states/eV per atom
total DFT energy (no corrections)	-6.91	eV per atom
volume	152.35	Å³/f.u.
SG	P312 (149)

Cell: 5.649 5.649 5.513 Å, 90.00 90.00 60.00°
Positions (direct):
1 Dy 0.667 0.667 0.500
2 Tl 0.000 0.000 0.000
3 Os 0.333 0.333 0.500
4 O 0.047 0.363 0.302
5 O 0.363 0.048 0.698
6 O 0.589 0.363 0.698
7 O 0.047 0.589 0.698
8 O 0.363 0.589 0.302
9 O 0.589 0.048 0.302

A relaxed ScHgTe2I crystal. Source: Alexandria, functional PBE.

Computed properties:
raw formation energy	-361	meV/atom
crystal system	tetragonal
D(E_F)	1.27	states/eV per atom
total DFT energy (no corrections)	-3.25	eV per atom
volume	181.48	Å³/f.u.
SG	P4/mmm (123)

Cell: 5.636 5.636 5.714 Å, 90.00 90.00 90.00°
Positions (direct):
1 I 0.000 0.000 0.500
2 Sc 0.000 0.000 0.000
3 Te 0.000 0.500 0.000
4 Te 0.500 0.000 0.000
5 Hg 0.500 0.500 0.500

A relaxed AcEuLuPb crystal. Source: Alexandria, functional PBE.

Computed properties:
formation enthalpy at 0 K	-0.027	eV per atom
crystal system	cubic
D(E_F)	1.53	states/eV per atom
total DFT energy (no corrections)	-5.68	eV per atom
volume	132.16	Å³/f.u.
SG	F-43m (216)

Cell: 5.717 5.717 5.717 Å, 60.00 60.00 60.00°
Each line ends with the local moment (μB).
Positions (direct):
1 Pb 0.000 0.000 0.000  -0.02
2 Eu 0.250 0.250 0.250  6.96
3 Ac 0.500 0.500 0.500  0.23
4 Lu 0.750 0.750 0.750  0.26

A relaxed B3RuPb crystal. Source: Alexandria, functional PBE.

Computed properties:
formation enthalpy at 0 K	1.005	eV per atom
crystal system	cubic
D(E_F)	1.19	states/eV per atom
total DFT energy (no corrections)	-5.60	eV per atom
volume	74.21	Å³/f.u.
SG	Pm-3m (221)

Cell: 4.202 4.202 4.202 Å, 90.00 90.00 90.00°
Positions (direct):
1 Pb 0.500 0.500 0.500
2 Ru 0.000 0.000 0.000
3 B 0.000 0.500 0.000
4 B 0.000 0.000 0.500
5 B 0.500 0.000 0.000

A relaxed Pm4TlGa3 crystal. Source: Alexandria, functional PBE.

Computed properties:
formation enthalpy at 0 K	-0.505	eV per atom
crystal system	orthorhombic
D(E_F)	0.49	states/eV per atom
total DFT energy (no corrections)	-4.31	eV per atom
volume	207.11	Å³/f.u.
SG	Pmma (51)

Cell: 5.259 7.488 10.518 Å, 90.00 90.00 90.00°
Positions (direct):
1 Tl 0.000 0.500 0.000
2 Tl 0.000 0.500 0.500
3 Ga 0.000 0.000 0.000
4 Ga 0.000 0.000 0.500
5 Ga 0.503 0.000 0.750
6 Ga 0.497 0.000 0.250
7 Ga 0.503 0.500 0.750
8 Ga 0.497 0.500 0.250
9 Pm 0.500 0.758 0.000
10 Pm 0.500 0.758 0.500
11 Pm 0.500 0.242 0.000
12 Pm 0.500 0.242 0.500
13 Pm 0.002 0.758 0.750
14 Pm 0.998 0.758 0.250
15 Pm 0.998 0.242 0.250
16 Pm 0.002 0.242 0.750

A relaxed FeAsOsSe2 crystal. Source: Alexandria, functional PBE.

Computed properties:
raw formation energy	1040	meV/atom
crystal system	tetragonal
D(E_F)	1.87	states/eV per atom
total DFT energy (no corrections)	-5.22	eV per atom
volume	116.75	Å³/f.u.
SG	P4/mmm (123)

Cell: 5.023 5.023 4.627 Å, 90.00 90.00 90.00°
Each line ends with the local moment (μB).
Positions (direct):
1 As 0.000 0.000 0.500  0.01
2 Os 0.000 0.000 0.000  -0.49
3 Fe 0.500 0.500 0.500  3.37
4 Se 0.000 0.500 0.000  -0.05
5 Se 0.500 0.000 0.000  -0.05

A relaxed CrGaW3 crystal. Source: Alexandria, functional PBE.

Computed properties:
formation enthalpy at 0 K	2.129	eV per atom
crystal system	cubic
D(E_F)	1.26	states/eV per atom
total DFT energy (no corrections)	-8.17	eV per atom
volume	92.84	Å³/f.u.
SG	Pm-3m (221)

Cell: 4.528 4.528 4.528 Å, 90.00 90.00 90.00°
Positions (direct):
1 Cr 0.500 0.500 0.500
2 Ga 0.000 0.000 0.000
3 W 0.000 0.500 0.000
4 W 0.000 0.000 0.500
5 W 0.500 0.000 0.000

A relaxed CaNdTmIn crystal. Source: Alexandria, functional PBE.

Computed properties:
formation enthalpy at 0 K	-0.142	eV per atom
crystal system	cubic
D(E_F)	0.83	states/eV per atom
total DFT energy (no corrections)	-3.64	eV per atom
volume	119.73	Å³/f.u.
SG	F-43m (216)

Cell: 5.532 5.532 5.532 Å, 60.00 60.00 60.00°
Positions (direct):
1 Ca 0.750 0.750 0.750
2 Tm 0.000 0.000 0.000
3 Nd 0.500 0.500 0.500
4 In 0.250 0.250 0.250